# 1
# CaPuMgHg | Alexandria | PBE | optimized geometry
# Crystal system = cubic
# Raw total energy = -73.8 eV/cell
# Mass density = 7.6 g/cm³
data_CaPuMgHg
_chemical_formula_sum 'Ca4 Pu4 Mg4 Hg4'
_space_group_name_H-M_alt 'F -4 3 m'
_space_group_IT_number 216
_space_group_name_Hall 'F -4 2 3'
_cell_length_a 7.6372
_cell_length_b 7.6372
_cell_length_c 7.6372
_cell_angle_alpha 90.00
_cell_angle_beta 90.00
_cell_angle_gamma 90.00
loop_
_atom_site_label
_atom_site_fract_x
_atom_site_fract_y
_atom_site_fract_z
Ca1 0.0000 0.0000 0.0000
Pu1 0.0000 0.0000 0.5000
Mg1 0.2500 0.2500 0.2500
Hg1 0.2500 0.2500 0.7500

=====

# 2
# RbCaMg2Hg | Alexandria | PBE | optimized geometry
# Crystal system = tetragonal
# Raw total energy = -4.9 eV/cell
# Mass density = 2.6 g/cm³
data_RbCaMg2Hg
_chemical_formula_sum 'Rb1 Ca1 Mg2 Hg1'
_space_group_name_H-M_alt 'P 4/m m m'
_space_group_IT_number 123
_space_group_name_Hall '-P 4 2'
_cell_length_a 6.3251
_cell_length_b 6.3251
_cell_length_c 5.9914
_cell_angle_alpha 90.00
_cell_angle_beta 90.00
_cell_angle_gamma 90.00
loop_
_atom_site_label
_atom_site_fract_x
_atom_site_fract_y
_atom_site_fract_z
Rb1 0.0000 0.0000 0.0000
Ca1 0.5000 0.5000 0.5000
Mg1 0.0000 0.5000 0.5000
Hg1 0.5000 0.5000 0.0000

=====

# 3
# Ca2MgReHg | Alexandria | PBE | optimized geometry
# Crystal system = tetragonal
# Raw total energy = -13.0 eV/cell
# Mass density = 5.2 g/cm³
data_Ca2MgReHg
_chemical_formula_sum 'Ca2 Mg1 Re1 Hg1'
_space_group_name_H-M_alt 'P 4/m m m'
_space_group_IT_number 123
_space_group_name_Hall '-P 4 2'
_cell_length_a 5.6914
_cell_length_b 5.6914
_cell_length_c 4.8403
_cell_angle_alpha 90.00
_cell_angle_beta 90.00
_cell_angle_gamma 90.00
loop_
_atom_site_label
_atom_site_fract_x
_atom_site_fract_y
_atom_site_fract_z
Ca1 0.0000 0.5000 0.0000
Mg1 0.0000 0.0000 0.0000
Re1 0.0000 0.0000 0.5000
Hg1 0.5000 0.5000 0.5000

=====

# 4
# CaMgHgSb | Alexandria | PBE | optimized geometry
# Crystal system = cubic
# Mass density = 6.1 g/cm³
# Formation energy (no corrections) = -177 kJ/mol of formula units
data_CaMgHgSb
_chemical_formula_sum 'Ca4 Mg4 Hg4 Sb4'
_space_group_name_H-M_alt 'F -4 3 m'
_space_group_IT_number 216
_space_group_name_Hall 'F -4 2 3'
_cell_length_a 7.4951
_cell_length_b 7.4951
_cell_length_c 7.4951
_cell_angle_alpha 90.00
_cell_angle_beta 90.00
_cell_angle_gamma 90.00
loop_
_atom_site_label
_atom_site_fract_x
_atom_site_fract_y
_atom_site_fract_z
Ca1 0.0000 0.0000 0.0000
Mg1 0.0000 0.0000 0.5000
Hg1 0.2500 0.2500 0.2500
Sb1 0.2500 0.2500 0.7500

=====

# 5
# CaMg2ScHg4 | Alexandria | PBE | optimized geometry
# Crystal system = trigonal
# Raw total energy = -47.8 eV/cell
# Mass density = 8.7 g/cm³
data_CaMg2ScHg4
_chemical_formula_sum 'Ca3 Mg6 Sc3 Hg12'
_space_group_name_H-M_alt 'R -3 m'
_space_group_IT_number 166
_space_group_name_Hall '-R 3 2"'
_cell_length_a 4.9959
_cell_length_b 4.9959
_cell_length_c 24.8829
_cell_angle_alpha 90.00
_cell_angle_beta 90.00
_cell_angle_gamma 120.00
loop_
_atom_site_label
_atom_site_fract_x
_atom_site_fract_y
_atom_site_fract_z
Ca1 0.0000 0.0000 0.0000
Mg1 0.0000 0.0000 0.2485
Sc1 0.0000 0.0000 0.5000
Hg1 0.0000 0.0000 0.1280
Hg2 0.0000 0.0000 0.3799

=====

# 6
# CaMgScHg2 | Alexandria | PBE | optimized geometry
# Crystal system = tetragonal
# Raw total energy = -9.5 eV/cell
# Mass density = 5.2 g/cm³
data_CaMgScHg2
_chemical_formula_sum 'Ca1 Mg1 Sc1 Hg2'
_space_group_name_H-M_alt 'P 4/m m m'
_space_group_IT_number 123
_space_group_name_Hall '-P 4 2'
_cell_length_a 5.3952
_cell_length_b 5.3952
_cell_length_c 5.5506
_cell_angle_alpha 90.00
_cell_angle_beta 90.00
_cell_angle_gamma 90.00
loop_
_atom_site_label
_atom_site_fract_x
_atom_site_fract_y
_atom_site_fract_z
Ca1 0.0000 0.0000 0.0000
Mg1 0.5000 0.5000 0.0000
Sc1 0.5000 0.5000 0.5000
Hg1 0.0000 0.5000 0.5000

=====

# 7
# CaMgSc2Hg4 | Alexandria | PBE | optimized geometry
# Crystal system = trigonal
# Raw total energy = -62.0 eV/cell
# Mass density = 8.7 g/cm³
data_CaMgSc2Hg4
_chemical_formula_sum 'Ca3 Mg3 Sc6 Hg12'
_space_group_name_H-M_alt 'R -3 m'
_space_group_IT_number 166
_space_group_name_Hall '-R 3 2"'
_cell_length_a 5.0274
_cell_length_b 5.0274
_cell_length_c 24.8931
_cell_angle_alpha 90.00
_cell_angle_beta 90.00
_cell_angle_gamma 120.00
loop_
_atom_site_label
_atom_site_fract_x
_atom_site_fract_y
_atom_site_fract_z
Ca1 0.0000 0.0000 0.0000
Mg1 0.0000 0.0000 0.5000
Sc1 0.0000 0.0000 0.2466
Hg1 0.0000 0.0000 0.1259
Hg2 0.0000 0.0000 0.3782

=====

# 8
# CaMgSiHg | Alexandria | PBE | optimized geometry
# Crystal system = cubic
# Mass density = 5.4 g/cm³
# Formation energy (no corrections) = -106 kJ/mol of formula units
data_CaMgSiHg
_chemical_formula_sum 'Ca4 Mg4 Si4 Hg4'
_space_group_name_H-M_alt 'F -4 3 m'
_space_group_IT_number 216
_space_group_name_Hall 'F -4 2 3'
_cell_length_a 7.1120
_cell_length_b 7.1120
_cell_length_c 7.1120
_cell_angle_alpha 90.00
_cell_angle_beta 90.00
_cell_angle_gamma 90.00
loop_
_atom_site_label
_atom_site_fract_x
_atom_site_fract_y
_atom_site_fract_z
Ca1 0.0000 0.0000 0.0000
Mg1 0.0000 0.0000 0.5000
Si1 0.2500 0.2500 0.7500
Hg1 0.2500 0.2500 0.2500

=====

# 9
# CaSm2MgHg4 | Alexandria | PBE | optimized geometry
# Crystal system = trigonal
# Raw total energy = -54.5 eV/cell
# Mass density = 9.5 g/cm³
data_CaSm2MgHg4
_chemical_formula_sum 'Ca3 Sm6 Mg3 Hg12'
_space_group_name_H-M_alt 'R -3 m'
_space_group_IT_number 166
_space_group_name_Hall '-R 3 2"'
_cell_length_a 5.2372
_cell_length_b 5.2372
_cell_length_c 25.8331
_cell_angle_alpha 90.00
_cell_angle_beta 90.00
_cell_angle_gamma 120.00
loop_
_atom_site_label
_atom_site_fract_x
_atom_site_fract_y
_atom_site_fract_z
Ca1 0.0000 0.0000 0.0000
Sm1 0.0000 0.0000 0.2463
Mg1 0.0000 0.0000 0.5000
Hg1 0.0000 0.0000 0.1249
Hg2 0.0000 0.0000 0.3745

=====

# 10
# CaMg2SnHg4 | Alexandria | PBE | optimized geometry
# Crystal system = trigonal
# Raw total energy = -37.0 eV/cell
# Mass density = 8.4 g/cm³
data_CaMg2SnHg4
_chemical_formula_sum 'Ca3 Mg6 Sn3 Hg12'
_space_group_name_H-M_alt 'R -3 m'
_space_group_IT_number 166
_space_group_name_Hall '-R 3 2"'
_cell_length_a 4.8678
_cell_length_b 4.8678
_cell_length_c 29.0462
_cell_angle_alpha 90.00
_cell_angle_beta 90.00
_cell_angle_gamma 120.00
loop_
_atom_site_label
_atom_site_fract_x
_atom_site_fract_y
_atom_site_fract_z
Ca1 0.0000 0.0000 0.0000
Mg1 0.0000 0.0000 0.2428
Sn1 0.0000 0.0000 0.5000
Hg1 0.0000 0.0000 0.1177
Hg2 0.0000 0.0000 0.3856

=====

# 11
# Ca2Mg5Sn3Hg2 | Alexandria | PBE | optimized geometry
# Crystal system = tetragonal
# Raw total energy = -52.4 eV/cell
# Mass density = 5.1 g/cm³
data_Ca2Mg5Sn3Hg2
_chemical_formula_sum 'Ca4 Mg10 Sn6 Hg4'
_space_group_name_H-M_alt 'I 4/m m m'
_space_group_IT_number 139
_space_group_name_Hall '-I 4 2'
_cell_length_a 4.4565
_cell_length_b 4.4565
_cell_length_c 31.3685
_cell_angle_alpha 90.00
_cell_angle_beta 90.00
_cell_angle_gamma 90.00
loop_
_atom_site_label
_atom_site_fract_x
_atom_site_fract_y
_atom_site_fract_z
Ca1 0.0000 0.0000 0.2202
Mg1 0.0000 0.0000 0.0000
Mg2 0.0000 0.5000 0.0721
Sn1 0.0000 0.0000 0.3362
Sn2 0.0000 0.0000 0.5000
Hg1 0.0000 0.0000 0.1268

=====

# 12
# SrCaMg2Hg2 | Alexandria | PBE | optimized geometry
# Crystal system = trigonal
# Raw total energy = -9.6 eV/cell
# Mass density = 5.7 g/cm³
data_SrCaMg2Hg2
_chemical_formula_sum 'Sr1 Ca1 Mg2 Hg2'
_space_group_name_H-M_alt 'P -3 m 1'
_space_group_IT_number 164
_space_group_name_Hall '-P 3 2"'
_cell_length_a 5.0400
_cell_length_b 5.0400
_cell_length_c 7.6897
_cell_angle_alpha 90.00
_cell_angle_beta 90.00
_cell_angle_gamma 120.00
loop_
_atom_site_label
_atom_site_fract_x
_atom_site_fract_y
_atom_site_fract_z
Sr1 0.0000 0.0000 0.0000
Ca1 0.0000 0.0000 0.5000
Mg1 0.3333 0.6667 0.7128
Hg1 0.3333 0.6667 0.2801

=====

Q: Look up the mass density of the third one.
A: 5.2 g/cm³

=====

What did the eighth record say?
# CaMgSiHg | Alexandria | PBE | optimized geometry
# Crystal system = cubic
# Mass density = 5.4 g/cm³
# Formation energy (no corrections) = -106 kJ/mol of formula units
data_CaMgSiHg
_chemical_formula_sum 'Ca4 Mg4 Si4 Hg4'
_space_group_name_H-M_alt 'F -4 3 m'
_space_group_IT_number 216
_space_group_name_Hall 'F -4 2 3'
_cell_length_a 7.1120
_cell_length_b 7.1120
_cell_length_c 7.1120
_cell_angle_alpha 90.00
_cell_angle_beta 90.00
_cell_angle_gamma 90.00
loop_
_atom_site_label
_atom_site_fract_x
_atom_site_fract_y
_atom_site_fract_z
Ca1 0.0000 0.0000 0.0000
Mg1 0.0000 0.0000 0.5000
Si1 0.2500 0.2500 0.7500
Hg1 0.2500 0.2500 0.2500

=====

Repeat the eleventh record exactly.
# Ca2Mg5Sn3Hg2 | Alexandria | PBE | optimized geometry
# Crystal system = tetragonal
# Raw total energy = -52.4 eV/cell
# Mass density = 5.1 g/cm³
data_Ca2Mg5Sn3Hg2
_chemical_formula_sum 'Ca4 Mg10 Sn6 Hg4'
_space_group_name_H-M_alt 'I 4/m m m'
_space_group_IT_number 139
_space_group_name_Hall '-I 4 2'
_cell_length_a 4.4565
_cell_length_b 4.4565
_cell_length_c 31.3685
_cell_angle_alpha 90.00
_cell_angle_beta 90.00
_cell_angle_gamma 90.00
loop_
_atom_site_label
_atom_site_fract_x
_atom_site_fract_y
_atom_site_fract_z
Ca1 0.0000 0.0000 0.2202
Mg1 0.0000 0.0000 0.0000
Mg2 0.0000 0.5000 0.0721
Sn1 0.0000 0.0000 0.3362
Sn2 0.0000 0.0000 0.5000
Hg1 0.0000 0.0000 0.1268

=====

Q: Which of these has the lowest mass density?
A: RbCaMg2Hg